Record 1
Material: TiBeCd3
Method: DFT, PBE
State: optimized geometry

The energy relative to the lowest polymorph listed for this composition comes out at 0.0 kJ per mole of atoms. The spin magnetization comes out at 0.0 μB per formula unit. The value obtained for the total energy is -2.3806 eV per atom. The calculated volume is 19.27 A^3/atom. The value obtained for the formation energy is 0.493 eV/atom.

```
data_TiBeCd3
_chemical_formula_sum 'Ti1 Be1 Cd3'
_space_group_name_H-M_alt 'P m -3 m'
_space_group_IT_number 221
_space_group_name_Hall '-P 4 2 3'
_cell_length_a 4.5840
_cell_length_b 4.5840
_cell_length_c 4.5840
_cell_angle_alpha 90.00
_cell_angle_beta 90.00
_cell_angle_gamma 90.00
loop_
_atom_site_label
_atom_site_fract_x
_atom_site_fract_y
_atom_site_fract_z
Ti1 0.0000 0.0000 0.0000
Be1 0.5000 0.5000 0.5000
Cd1 0.0000 0.5000 0.5000
```

***

Record 2
Material: BaNa2Ag2Au
Method: DFT, PBE
State: optimized geometry

The spin magnetization comes out at 0.0 μB per formula unit. The value obtained for the total energy is -2.2575 eV per atom. The calculated volume is 32.30 A^3/atom. The value obtained for the formation energy is -0.001 eV/atom.

```
data_BaNa2Ag2Au
_chemical_formula_sum 'Ba2 Na4 Ag4 Au2'
_space_group_name_H-M_alt 'I 4/m m m'
_space_group_IT_number 139
_space_group_name_Hall '-I 4 2'
_cell_length_a 5.5442
_cell_length_b 5.5442
_cell_length_c 12.6092
_cell_angle_alpha 90.00
_cell_angle_beta 90.00
_cell_angle_gamma 90.00
loop_
_atom_site_label
_atom_site_fract_x
_atom_site_fract_y
_atom_site_fract_z
Ba1 0.0000 0.0000 0.0000
Na1 0.0000 0.5000 0.2500
Ag1 0.0000 0.0000 0.2855
Au1 0.0000 0.0000 0.5000
```

***

Record 3
Material: Cs2AuSI
Method: DFT, PBE
State: optimized geometry

The spin magnetization comes out at 0.0 μB per formula unit. The value obtained for the total energy is -3.0761 eV per atom. The calculated volume is 44.71 A^3/atom. Its uncorrected formation energy is -4.719 eV per formula unit.

```
data_Cs2AuSI
_chemical_formula_sum 'Cs2 Au1 S1 I1'
_space_group_name_H-M_alt 'P 4/m m m'
_space_group_IT_number 123
_space_group_name_Hall '-P 4 2'
_cell_length_a 6.9527
_cell_length_b 6.9527
_cell_length_c 4.6240
_cell_angle_alpha 90.00
_cell_angle_beta 90.00
_cell_angle_gamma 90.00
loop_
_atom_site_label
_atom_site_fract_x
_atom_site_fract_y
_atom_site_fract_z
Cs1 0.0000 0.5000 0.0000
Au1 0.0000 0.0000 0.5000
S1 0.0000 0.0000 0.0000
I1 0.5000 0.5000 0.5000
```